[1]
# PBEsol NaHS, optimized geometry
data_NaHS
_chemical_formula_sum 'Na2 H2 S2'
_cell_length_a 3.783
_cell_length_b 4.496
_cell_length_c 5.847
_cell_angle_alpha 90.00
_cell_angle_beta 99.26
_cell_angle_gamma 90.00
_symmetry_space_group_name_H-M 'P 1 21/m 1'
_symmetry_Int_Tables_number 11
_symmetry_space_group_name_Hall '-P 2yb'
loop_
_atom_site_label
_atom_site_type_symbol
_atom_site_fract_x
_atom_site_fract_y
_atom_site_fract_z
_atom_site_occupancy
Na1 Na 0.238 0.250 0.268 1
H1 H 0.427 0.750 0.110 1
S1 S 0.244 0.250 0.755 1
# Total moment (μB per formula unit): 0.0
# Raw total energy (eV per atom): -3.714

***

[2]
# PBEsol Ta9Ni2S6, optimized geometry
data_Ta9Ni2S6
_chemical_formula_sum 'Ta9 Ni2 S6'
_cell_length_a 10.0855
_cell_length_b 10.0855
_cell_length_c 3.3561
_cell_angle_alpha 90.00
_cell_angle_beta 90.00
_cell_angle_gamma 120.00
_symmetry_space_group_name_H-M 'P -6 2 m'
_symmetry_Int_Tables_number 189
_symmetry_space_group_name_Hall 'P -6 -2'
loop_
_atom_site_label
_atom_site_type_symbol
_atom_site_fract_x
_atom_site_fract_y
_atom_site_fract_z
_atom_site_occupancy
Ta1 Ta 0.0000 0.5460 0.0000 1
Ta2 Ta 0.1970 0.4604 0.5000 1
Ni1 Ni 0.3333 0.6667 0.0000 1
S1 S 0.0000 0.2949 0.0000 1
S2 S 0.0000 0.7294 0.5000 1
# Total moment (μB per formula unit): 0.0
# Raw total energy (eV per atom): -9.728
# Formation energy (no corrections) (eV/atom): -0.812

***

[3]
# PBEsol RbTi2Br, optimized geometry
data_RbTi2Br
_chemical_formula_sum 'Rb4 Ti8 Br4'
_cell_length_a 4.652
_cell_length_b 4.652
_cell_length_c 19.984
_cell_angle_alpha 90.00
_cell_angle_beta 90.00
_cell_angle_gamma 90.00
_symmetry_space_group_name_H-M 'I 41/a m d'
_symmetry_Int_Tables_number 141
loop_
_symmetry_equiv_pos_as_xyz
'x,y,z'
'-x,-y,-z'
'-y+1/4,x+3/4,z+1/4'
'y+1/4,-x+3/4,-z+1/4'
'-x+1/2,-y,z+1/2'
'x+1/2,y,-z+1/2'
'y+1/4,-x+1/4,z+3/4'
'-y+1/4,x+1/4,-z+3/4'
'x,-y,-z'
'-x,y,z'
'-y+1/4,-x+1/4,-z+3/4'
'y+1/4,x+1/4,z+3/4'
'-x+1/2,y,-z+1/2'
'x+1/2,-y,z+1/2'
'y+1/4,x+3/4,-z+1/4'
'-y+1/4,-x+3/4,z+1/4'
'x+1/2,y+1/2,z+1/2'
'-x+1/2,-y+1/2,-z+1/2'
'-y+3/4,x+1/4,z+3/4'
'y+3/4,-x+1/4,-z+3/4'
'-x,-y+1/2,z'
'x,y+1/2,-z'
'y+3/4,-x+3/4,z+1/4'
'-y+3/4,x+3/4,-z+1/4'
'x+1/2,-y+1/2,-z+1/2'
'-x+1/2,y+1/2,z+1/2'
'-y+3/4,-x+3/4,-z+1/4'
'y+3/4,x+3/4,z+1/4'
'-x,y+1/2,-z'
'x,-y+1/2,z'
'y+3/4,x+1/4,-z+3/4'
'-y+3/4,-x+1/4,z+3/4'
loop_
_atom_site_label
_atom_site_type_symbol
_atom_site_fract_x
_atom_site_fract_y
_atom_site_fract_z
_atom_site_occupancy
Rb1 Rb 0.000 0.250 0.375 1
Ti1 Ti 0.000 0.000 0.000 1
Br1 Br 0.000 0.250 0.875 1
# Total moment (μB per formula unit): 0.0
# Raw total energy (eV per atom): -4.310
# Formation energy (no corrections) (eV/atom): 0.575